{"formula": "DyY2Au", "functional": "PBE", "state": "relaxed", "dos_at_fermi_per_ev_fu": 4.18, "total_magnetization_mub_per_cell": 0.000, "spacegroup": "Pnma, No. 62", "e_form_ev_per_atom": -0.45, "e_above_lowest_polymorph_kj_per_mol_atoms": 0.0, "lattice": [[6.985, 0.000, 0.000], [0.000, 9.787, 0.000], [0.000, 0.000, 6.690]], "species": ["Dy", "Dy", "Dy", "Dy", "Y", "Y", "Y", "Y", "Y", "Y", "Y", "Y", "Au", "Au", "Au", "Au"], "fractional_positions": [[0.014, 0.250, 0.120], [0.486, 0.750, 0.620], [0.514, 0.250, 0.380], [0.986, 0.750, 0.880], [0.195, 0.055, 0.693], [0.195, 0.445, 0.693], [0.305, 0.555, 0.193], [0.305, 0.945, 0.193], [0.695, 0.055, 0.807], [0.695, 0.445, 0.807], [0.805, 0.555, 0.307], [0.805, 0.945, 0.307], [0.091, 0.750, 0.460], [0.409, 0.250, 0.960], [0.591, 0.750, 0.040], [0.909, 0.250, 0.540]]}